DFT (GGA-PBE) results for LaMo2P after structural relaxation.

As for the space-group type: C2/m. The formation energy is -0.0279 eV per atom. For the calculated total energy, the calculation gives -32.11 eV for the cell shown.

a b c (Å): 4.7097 4.7097 5.2437
angles (deg): 78.94 78.94 42.29
Positions (direct):
P  0.5000  0.5000  0.0000
Mo  0.7783  0.7783  0.1669
Mo  0.2217  0.2217  0.8331
La  0.0000  0.0000  0.5000